[1]
! AgRuRh, optimized geometry, DFT PBE; values from VASP
! DOS at the Fermi energy ... 3.49 states/eV/cell
! SG ... I4mm
! DFT total energy ... -18.685 eV per formula unit
! Energy of formation ... 265 meV/atom
! Relative energy among the computed polymorphs ... 0.022 eV per atom
&SYSTEM
  ibrav = 0, nat = 3, ntyp = 3
/
ATOMIC_SPECIES
Ag 107.87 Ag.upf
Rh 102.91 Rh.upf
Ru 101.07 Ru.upf
ATOMIC_POSITIONS crystal
Ag 0.0004 0.0004 0.0000
Rh 0.3208 0.3208 0.0000
Ru 0.6788 0.6788 0.0000
CELL_PARAMETERS angstrom
6.3517 -0.0035 0.0000
5.1551 3.7107 0.0000
-5.7534 -1.8536 1.9511

=====

[2]
! AgRu2Rh, optimized geometry, DFT PBE; values from VASP
! DOS at the Fermi energy ... 3.69 states/eV/cell
! SG ... F-43m
! DFT total energy ... -26.364 eV per formula unit
! Energy of formation ... 598 meV/atom
! Relative energy among the computed polymorphs ... 0.381 eV per atom
&SYSTEM
  ibrav = 0, nat = 4, ntyp = 3
/
ATOMIC_SPECIES
Ag 107.87 Ag.upf
Rh 102.91 Rh.upf
Ru 101.07 Ru.upf
ATOMIC_POSITIONS crystal
Ag 0.5000 0.5000 0.5000
Rh 0.2500 0.2500 0.2500
Ru 0.0000 0.0000 0.0000
Ru 0.7500 0.7500 0.7500
CELL_PARAMETERS angstrom
4.4130 0.0000 0.0000
2.2065 3.8218 0.0000
2.2065 1.2739 3.6032

=====

[3]
! AgRu2Rh, optimized geometry, DFT PBE; values from VASP
! DOS at the Fermi energy ... 11.81 states/eV/cell
! SG ... I-42d
! DFT total energy ... -25.140 eV per formula unit
! Energy of formation ... 904 meV/atom
! Relative energy among the computed polymorphs ... 0.687 eV per atom
&SYSTEM
  ibrav = 0, nat = 8, ntyp = 3
/
ATOMIC_SPECIES
Ru 101.07 Ru.upf
Rh 102.91 Rh.upf
Ag 107.87 Ag.upf
ATOMIC_POSITIONS crystal
Ru 0.5827 0.1250 0.2500
Ru 0.1673 0.6250 0.2500
Ru 0.3750 0.4173 0.7500
Ru 0.8750 0.8327 0.7500
Rh 0.5000 0.5000 0.0000
Rh 0.2500 0.7500 0.5000
Ag 0.0000 0.0000 0.0000
Ag 0.7500 0.2500 0.5000
CELL_PARAMETERS angstrom
-6.7547 -1.6162 -1.8220
-0.7074 -3.8380 6.0272
-4.5782 -0.6009 3.3571

=====

[4]
! AgRu2Rh, optimized geometry, DFT PBE; values from VASP
! DOS at the Fermi energy ... 5.28 states/eV/cell
! SG ... Pmm2
! DFT total energy ... -27.486 eV per formula unit
! Energy of formation ... 317 meV/atom
! Relative energy among the computed polymorphs ... 0.100 eV per atom
&SYSTEM
  ibrav = 0, nat = 4, ntyp = 3
/
ATOMIC_SPECIES
Ag 107.87 Ag.upf
Rh 102.91 Rh.upf
Ru 101.07 Ru.upf
ATOMIC_POSITIONS crystal
Ag 0.0000 0.4982 0.5017
Rh 0.5000 0.7371 0.7626
Ru 0.0000 0.9890 0.0109
Ru 0.5000 0.2757 0.2248
CELL_PARAMETERS angstrom
-2.8687 0.4290 2.5165
-1.8102 0.0098 -2.0652
-2.3022 -5.6020 -1.6694

=====

[5]
! AgRu2Rh, optimized geometry, DFT PBE; values from VASP
! DOS at the Fermi energy ... 6.59 states/eV/cell
! SG ... P2/m
! DFT total energy ... -26.992 eV per formula unit
! Energy of formation ... 441 meV/atom
! Relative energy among the computed polymorphs ... 0.224 eV per atom
&SYSTEM
  ibrav = 0, nat = 4, ntyp = 3
/
ATOMIC_SPECIES
Ag 107.87 Ag.upf
Rh 102.91 Rh.upf
Ru 101.07 Ru.upf
ATOMIC_POSITIONS crystal
Ag 0.5000 0.5000 0.5000
Rh 0.0000 0.0000 0.5000
Ru 0.0000 0.0000 0.0000
Ru 0.5000 0.5000 0.0000
CELL_PARAMETERS angstrom
-2.4431 -0.2539 -1.1920
1.8646 -3.0448 -3.1731
0.2501 -5.4841 0.6556

=====

[6]
! AgRuRh, optimized geometry, DFT PBE; values from VASP
! DOS at the Fermi energy ... 3.34 states/eV/cell
! SG ... P3m1
! DFT total energy ... -18.749 eV per formula unit
! Energy of formation ... 243 meV/atom
! Relative energy among the computed polymorphs ... 0.000 eV per atom
&SYSTEM
  ibrav = 0, nat = 3, ntyp = 3
/
ATOMIC_SPECIES
Ag 107.87 Ag.upf
Rh 102.91 Rh.upf
Ru 101.07 Ru.upf
ATOMIC_POSITIONS crystal
Ag 0.0000 0.0000 0.9999
Rh 0.6667 0.3333 0.3496
Ru 0.3333 0.6667 0.6505
CELL_PARAMETERS angstrom
-1.2095 2.1913 1.1382
-0.2695 -2.4774 1.1619
5.7065 1.1682 3.8144